1.
Density functional theory data (PBE) for a relaxed structure of Nd2SnTe5.

Formation energy from raw total energies = -0.863 eV/atom
Electronic total energy = -4.519 eV per atom
Space-group type = Cmcm, No. 63

Unit cell a=6.379 b=8.319 c=14.063 alpha=90.00 beta=90.00 gamma=112.54
Element x y z (fractional)
Nd: 0.828 0.657 0.428
Nd: 0.828 0.657 0.072
Nd: 0.172 0.343 0.572
Nd: 0.172 0.343 0.928
Sn: 0.808 0.616 0.750
Sn: 0.192 0.384 0.250
Te: 0.968 0.937 0.903
Te: 0.968 0.937 0.597
Te: 0.316 0.632 0.413
Te: 0.316 0.632 0.087
Te: 0.709 0.418 0.250
Te: 0.291 0.582 0.750
Te: 0.684 0.368 0.587
Te: 0.684 0.368 0.913
Te: 0.032 0.063 0.097
Te: 0.032 0.063 0.403

=====

2.
Density functional theory data (PBE) for a relaxed structure of Zn2Cd7Ag2.

Energy of formation = 0.012 eV per atom
D(E_F) = 3.54 states/eV/f.u.
Electronic total energy = -1.321 eV per atom
Space-group type = C2/m, No. 12

Unit cell a=7.192 b=5.739 c=5.739 alpha=99.78 beta=79.04 gamma=79.04
Element x y z (fractional)
Zn: 0.500 0.298 0.702
Zn: 0.500 0.702 0.298
Cd: 0.181 0.093 0.487
Cd: 0.819 0.513 0.907
Cd: 0.819 0.907 0.513
Cd: 0.181 0.487 0.093
Cd: 0.000 0.000 0.000
Cd: 0.452 0.823 0.823
Cd: 0.548 0.177 0.177
Ag: 0.820 0.401 0.401
Ag: 0.180 0.599 0.599

=====

3.
Density functional theory data (PBE) for a relaxed structure of BeHgSb.

D(E_F) = 1.27 states/eV/f.u.
Formation energy from raw total energies = 0.479 eV/atom
Electronic total energy = -2.238 eV per atom
Space-group type = I4mm, No. 107

Unit cell a=6.631 b=6.631 c=6.631 alpha=152.42 beta=152.42 gamma=39.40
Element x y z (fractional)
Sb: 0.635 0.635 0.000
Hg: 0.370 0.370 0.000
Be: 0.995 0.995 0.000

=====

4.
Density functional theory data (PBE) for a relaxed structure of Ti3GaAu.

Energy of formation = -0.168 eV per atom
D(E_F) = 6.19 states/eV/f.u.
Electronic total energy = -6.166 eV per atom
Space-group type = C2/c, No. 15

Unit cell a=5.262 b=5.262 c=13.944 alpha=74.05 beta=74.05 gamma=75.32
Element x y z (fractional)
Ti: 0.843 0.832 0.850
Ti: 0.168 0.157 0.650
Ti: 0.157 0.168 0.150
Ti: 0.832 0.843 0.350
Ti: 0.819 0.777 0.648
Ti: 0.223 0.181 0.852
Ti: 0.181 0.223 0.352
Ti: 0.777 0.819 0.148
Ti: 0.232 0.623 0.968
Ti: 0.377 0.768 0.532
Ti: 0.623 0.232 0.468
Ti: 0.768 0.377 0.032
Ga: 0.000 0.500 0.500
Ga: 0.500 0.000 0.000
Ga: 0.685 0.315 0.250
Ga: 0.315 0.685 0.750
Au: 0.714 0.382 0.837
Au: 0.618 0.286 0.663
Au: 0.286 0.618 0.163
Au: 0.382 0.714 0.337

=====

5.
Density functional theory data (PBE) for a relaxed structure of Cs3Tl2I4Br2.

D(E_F) = 3.65 states/eV/f.u.
Formation energy from raw total energies = -1.124 eV/atom
Electronic total energy = -2.655 eV per atom
Space-group type = I4/mmm, No. 139

Unit cell a=6.407 b=6.407 c=15.190 alpha=102.18 beta=102.18 gamma=90.00
Element x y z (fractional)
Cs: 0.000 0.000 0.000
Cs: 0.177 0.177 0.355
Cs: 0.823 0.823 0.645
Tl: 0.399 0.399 0.798
Tl: 0.601 0.601 0.202
I: 0.414 0.914 0.829
I: 0.914 0.414 0.829
I: 0.086 0.586 0.171
I: 0.586 0.086 0.171
Br: 0.299 0.299 0.598
Br: 0.701 0.701 0.402

=====

6.
Density functional theory data (PBE) for a relaxed structure of Mg2Te.

D(E_F) = 0.54 states/eV/f.u.
Formation energy from raw total energies = -0.244 eV/atom
Electronic total energy = -2.354 eV per atom
Space-group type = Pnnm, No. 58

Unit cell a=4.226 b=6.290 c=7.189 alpha=90.00 beta=90.00 gamma=90.00
Element x y z (fractional)
Mg: 0.000 0.189 0.612
Mg: 0.000 0.811 0.388
Mg: 0.500 0.689 0.888
Mg: 0.500 0.311 0.112
Te: 0.000 0.000 0.000
Te: 0.500 0.500 0.500

=====

7.
Density functional theory data (PBE) for a relaxed structure of SrAgB3.

Energy of formation = 1.476 eV per atom
D(E_F) = 3.67 states/eV/f.u.
Electronic total energy = -3.437 eV per atom
Space-group type = Pm-3m, No. 221

Unit cell a=4.358 b=4.358 c=4.358 alpha=90.00 beta=90.00 gamma=90.00
Element x y z (fractional)
Sr: 0.500 0.500 0.500
B: 0.000 0.500 0.000
B: 0.000 0.000 0.500
B: 0.500 0.000 0.000
Ag: 0.000 0.000 0.000

=====

8.
Density functional theory data (PBE) for a relaxed structure of ZnFeIr.

Energy of formation = -0.053 eV per atom
D(E_F) = 2.50 states/eV/f.u.
Electronic total energy = -6.252 eV per atom
Space-group type = P3m1, No. 156

Unit cell a=2.712 b=2.712 c=6.380 alpha=90.00 beta=90.00 gamma=120.00
Element x y z (fractional)
Fe: 0.000 0.000 0.002
Ir: 0.667 0.333 0.325
Zn: 0.333 0.667 0.673

=====

9.
Density functional theory data (PBE) for a relaxed structure of LiErTh2.

Energy of formation = 0.154 eV per atom
D(E_F) = 3.50 states/eV/f.u.
Electronic total energy = -5.175 eV per atom
Space-group type = P4/mmm, No. 123

Unit cell a=3.476 b=3.476 c=9.552 alpha=90.00 beta=90.00 gamma=90.00
Element x y z (fractional)
Li: 0.500 0.500 0.000
Th: 0.000 0.000 0.767
Th: 0.000 0.000 0.233
Er: 0.500 0.500 0.500

=====

10.
Density functional theory data (PBE) for a relaxed structure of Mn2SiPb.

D(E_F) = 4.30 states/eV/f.u.
Formation energy from raw total energies = 0.356 eV/atom
Electronic total energy = -6.512 eV per atom
Space-group type = P4/mmm, No. 123

Unit cell a=3.069 b=3.069 c=6.830 alpha=90.00 beta=90.00 gamma=90.00
Element x y z (fractional)
Mn: 0.000 0.000 0.906
Mn: 0.000 0.000 0.594
Pb: 0.500 0.500 0.250
Si: 0.500 0.500 0.750

=====

11.
Density functional theory data (PBE) for a relaxed structure of Sb2TeSe.

D(E_F) = 2.74 states/eV/f.u.
Formation energy from raw total energies = 0.209 eV/atom
Electronic total energy = -3.508 eV per atom
Space-group type = Immm, No. 71

Unit cell a=5.821 b=5.821 c=5.821 alpha=140.46 beta=115.20 gamma=78.64
Element x y z (fractional)
Sb: 0.016 0.016 0.000
Sb: 0.484 0.484 0.000
Se: 0.250 0.750 0.500
Te: 0.750 0.250 0.500

=====

12.
Density functional theory data (PBE) for a relaxed structure of Pu2I3Cl.

D(E_F) = 27.64 states/eV/f.u.
Formation energy from raw total energies = -1.212 eV/atom
Electronic total energy = -7.072 eV per atom
Space-group type = C2/m, No. 12

Unit cell a=4.283 b=10.232 c=12.080 alpha=91.50 beta=79.79 gamma=77.92
Element x y z (fractional)
Pu: 0.877 0.369 0.876
Pu: 0.123 0.631 0.124
Pu: 0.638 0.103 0.621
Pu: 0.362 0.897 0.379
I: 0.068 0.051 0.813
I: 0.932 0.949 0.187
I: 0.693 0.682 0.932
I: 0.307 0.318 0.068
I: 0.828 0.794 0.550
I: 0.172 0.206 0.450
Cl: 0.450 0.378 0.723
Cl: 0.550 0.622 0.277

=====

13.
Density functional theory data (PBE) for a relaxed structure of ZrCd2Ag5.

Energy of formation = -0.010 eV per atom
D(E_F) = 2.96 states/eV/f.u.
Electronic total energy = -3.089 eV per atom
Space-group type = I4/mmm, No. 139

Unit cell a=4.884 b=4.884 c=7.303 alpha=109.52 beta=109.52 gamma=90.05
Element x y z (fractional)
Zr: 0.500 0.500 0.000
Cd: 0.249 0.249 0.498
Cd: 0.751 0.751 0.502
Ag: 0.124 0.624 0.248
Ag: 0.624 0.124 0.248
Ag: 0.376 0.876 0.752
Ag: 0.876 0.376 0.752
Ag: 0.000 0.000 0.000

=====

14.
Density functional theory data (PBE) for a relaxed structure of YAl3Fe2.

Energy of formation = -0.362 eV per atom
D(E_F) = 4.55 states/eV/f.u.
Electronic total energy = -6.131 eV per atom
Space-group type = Cmcm, No. 63

Unit cell a=5.136 b=6.250 c=6.250 alpha=98.98 beta=90.00 gamma=90.00
Element x y z (fractional)
Y: 0.250 0.350 0.350
Y: 0.750 0.650 0.650
Al: 0.750 0.459 0.079
Al: 0.750 0.079 0.459
Al: 0.250 0.541 0.921
Al: 0.750 0.033 0.033
Al: 0.250 0.967 0.967
Al: 0.250 0.921 0.541
Fe: 0.500 0.779 0.221
Fe: 0.000 0.779 0.221
Fe: 0.000 0.221 0.779
Fe: 0.500 0.221 0.779

=====

15.
Density functional theory data (PBE) for a relaxed structure of Zr4AlN2.

D(E_F) = 3.32 states/eV/f.u.
Formation energy from raw total energies = -1.142 eV/atom
Electronic total energy = -8.940 eV per atom
Space-group type = Cmcm, No. 63

Unit cell a=3.392 b=5.890 c=11.766 alpha=90.00 beta=90.00 gamma=106.73
Element x y z (fractional)
Zr: 0.761 0.522 0.104
Zr: 0.761 0.522 0.396
Zr: 0.239 0.478 0.896
Zr: 0.239 0.478 0.604
Zr: 0.918 0.835 0.750
Zr: 0.082 0.165 0.250
Zr: 0.500 0.000 0.000
Zr: 0.500 0.000 0.500
Al: 0.610 0.220 0.750
Al: 0.390 0.780 0.250
N: 0.133 0.267 0.439
N: 0.867 0.733 0.939
N: 0.133 0.267 0.061
N: 0.867 0.733 0.561

=====

16.
Density functional theory data (PBE) for a relaxed structure of CaNd2NbN4.

D(E_F) = 3.24 states/eV/f.u.
Formation energy from raw total energies = -1.054 eV/atom
Electronic total energy = -7.918 eV per atom
Space-group type = Cmcm, No. 63

Unit cell a=3.508 b=6.363 c=12.683 alpha=90.00 beta=90.00 gamma=106.00
Element x y z (fractional)
Ca: 0.108 0.216 0.750
Ca: 0.892 0.784 0.250
Nd: 0.369 0.739 0.533
Nd: 0.631 0.261 0.033
Nd: 0.631 0.261 0.467
Nd: 0.369 0.739 0.967
Nb: 0.837 0.675 0.750
Nb: 0.163 0.325 0.250
N: 0.262 0.524 0.131
N: 0.738 0.476 0.631
N: 0.738 0.476 0.869
N: 0.262 0.524 0.369
N: 0.000 0.000 0.500
N: 0.000 0.000 0.000
N: 0.429 0.858 0.750
N: 0.571 0.142 0.250

=====

17.
Density functional theory data (PBE) for a relaxed structure of SrPSe2N.

D(E_F) = 6.08 states/eV/f.u.
Formation energy from raw total energies = 1.286 eV/atom
Electronic total energy = -3.191 eV per atom
Space-group type = P4/mmm, No. 123

Unit cell a=5.799 b=5.799 c=4.725 alpha=90.00 beta=90.00 gamma=90.00
Element x y z (fractional)
Sr: 0.000 0.000 0.000
N: 0.000 0.000 0.500
Se: 0.000 0.500 0.000
Se: 0.500 0.000 0.000
P: 0.500 0.500 0.500

=====

18.
Density functional theory data (PBE) for a relaxed structure of PmY5Ho2.

Energy of formation = 0.157 eV per atom
D(E_F) = 12.23 states/eV/f.u.
Electronic total energy = -5.621 eV per atom
Space-group type = P-1, No. 2

Unit cell a=6.660 b=8.873 c=11.211 alpha=78.57 beta=121.99 gamma=112.00
Element x y z (fractional)
Pm: 0.812 0.625 0.750
Pm: 0.188 0.375 0.250
Y: 0.108 0.999 0.911
Y: 0.891 0.999 0.589
Y: 0.338 0.748 0.388
Y: 0.409 0.748 0.112
Y: 0.593 0.186 0.250
Y: 0.407 0.814 0.750
Y: 0.662 0.252 0.612
Y: 0.591 0.252 0.888
Y: 0.892 0.001 0.089
Y: 0.109 0.001 0.411
Ho: 0.800 0.604 0.422
Ho: 0.804 0.604 0.078
Ho: 0.200 0.396 0.578
Ho: 0.196 0.396 0.922

=====

19.
Density functional theory data (PBE) for a relaxed structure of RbGa3Sb3.

D(E_F) = 2.77 states/eV/f.u.
Formation energy from raw total energies = -0.177 eV/atom
Electronic total energy = -3.379 eV per atom
Space-group type = R-3, No. 148

Unit cell a=7.904 b=7.904 c=10.157 alpha=67.10 beta=67.10 gamma=60.00
Element x y z (fractional)
Rb: 0.333 0.333 0.000
Rb: 0.667 0.667 0.000
Ga: 0.466 0.793 0.611
Ga: 0.793 0.130 0.611
Ga: 0.130 0.466 0.611
Ga: 0.870 0.534 0.389
Ga: 0.207 0.870 0.389
Ga: 0.534 0.207 0.389
Sb: 0.230 0.571 0.297
Sb: 0.901 0.230 0.297
Sb: 0.571 0.901 0.297
Sb: 0.429 0.099 0.703
Sb: 0.099 0.770 0.703
Sb: 0.770 0.429 0.703

=====

20.
Density functional theory data (PBE) for a relaxed structure of Sr2ZrCu.

Energy of formation = 0.384 eV per atom
D(E_F) = 4.85 states/eV/f.u.
Electronic total energy = -3.618 eV per atom
Space-group type = Pm, No. 6

Unit cell a=4.612 b=4.218 c=6.940 alpha=72.31 beta=90.00 gamma=90.00
Element x y z (fractional)
Cu: 0.500 0.575 0.731
Sr: 0.000 0.972 0.930
Sr: 0.500 0.281 0.309
Zr: 0.000 0.671 0.530